First-principles (GGA-PBE) data for a geometry-optimized HfPd4Pt5 structure, as listed in the Alexandria database.

CIF file:
```
data_HfPd4Pt5
_chemical_formula_sum 'Hf2 Pd8 Pt10'
_cell_length_a 4.5826
_cell_length_b 8.5072
_cell_length_c 8.9830
_cell_angle_alpha 90.00
_cell_angle_beta 90.00
_cell_angle_gamma 90.00
_space_group_name_H-M_alt 'I m m m'
_space_group_IT_number 71
_space_group_name_Hall '-I 2 2'
loop_
_atom_site_label
_atom_site_fract_x
_atom_site_fract_y
_atom_site_fract_z
Hf1 0.0000 0.0000 0.0000
Pd1 0.0000 0.3325 0.0000
Pd2 0.0000 0.5000 0.2879
Pt1 0.0000 0.0000 0.5000
Pt2 0.0000 0.1702 0.2573
```

The crystal system is orthorhombic. The formation energy comes out at -20 kJ/mol of atoms.

=====

First-principles (GGA-PBE) data for a geometry-optimized BaZr2Ge2 structure, as listed in the Alexandria database.

CIF file:
```
data_BaZr2Ge2
_chemical_formula_sum 'Ba2 Zr4 Ge4'
_cell_length_a 4.5958
_cell_length_b 4.5958
_cell_length_c 12.9851
_cell_angle_alpha 90.00
_cell_angle_beta 90.00
_cell_angle_gamma 90.00
_space_group_name_H-M_alt 'I 4/m m m'
_space_group_IT_number 139
_space_group_name_Hall '-I 4 2'
loop_
_atom_site_label
_atom_site_fract_x
_atom_site_fract_y
_atom_site_fract_z
Ba1 0.0000 0.0000 0.0000
Zr1 0.0000 0.5000 0.2500
Ge1 0.0000 0.0000 0.3698
```

The crystal system is tetragonal. The formation energy comes out at -49 kJ/mol of atoms. As for the energy above the most stable polymorph in this dataset: 0.000 eV per formula unit.

=====

First-principles (GGA-PBE) data for a geometry-optimized ErMgH structure, as listed in the Alexandria database.

CIF file:
```
data_ErMgH
_chemical_formula_sum 'Er12 Mg12 H12'
_cell_length_a 3.5302
_cell_length_b 31.7628
_cell_length_c 6.3392
_cell_angle_alpha 90.00
_cell_angle_beta 90.00
_cell_angle_gamma 90.00
_space_group_name_H-M_alt 'I m m 2'
_space_group_IT_number 44
loop_
_space_group_symop_operation_xyz
'x,y,z'
'-x,-y,z'
'-x,y,z'
'x,-y,z'
'x+1/2,y+1/2,z+1/2'
'-x+1/2,-y+1/2,z+1/2'
'-x+1/2,y+1/2,z+1/2'
'x+1/2,-y+1/2,z+1/2'
loop_
_atom_site_label
_atom_site_fract_x
_atom_site_fract_y
_atom_site_fract_z
Er1 0.0000 0.0792 0.0000
Er2 0.0000 0.2397 0.6540
Er3 0.0000 0.4119 0.9880
Mg1 0.0000 0.0000 0.3506
Mg2 0.0000 0.1708 0.2778
Mg3 0.0000 0.3355 0.3773
Mg4 0.0000 0.5000 0.2941
H1 0.0000 0.0867 0.6696
H2 0.0000 0.2956 0.1553
H3 0.0000 0.4414 0.6768
```

The crystal system is orthorhombic. As for the energy above the most stable polymorph in this dataset: 0.000 eV per formula unit.

=====

First-principles (GGA-PBE) data for a geometry-optimized HoZnIn structure, as listed in the Alexandria database.

CIF file:
```
data_HoZnIn
_chemical_formula_sum 'Ho2 Zn2 In2'
_cell_length_a 4.6678
_cell_length_b 4.6678
_cell_length_c 7.1773
_cell_angle_alpha 90.00
_cell_angle_beta 90.00
_cell_angle_gamma 120.00
_space_group_name_H-M_alt 'P 63/m m c'
_space_group_IT_number 194
_space_group_name_Hall '-P 6c 2c'
loop_
_atom_site_label
_atom_site_fract_x
_atom_site_fract_y
_atom_site_fract_z
Ho1 0.0000 0.0000 0.0000
Zn1 0.3333 0.6667 0.2500
In1 0.3333 0.6667 0.7500
```

The crystal system is hexagonal. The formation energy comes out at -41 kJ/mol of atoms.

=====

Values of calculated density, in order: 14.98, 5.63, 5.40, 8.46, all in g cm⁻³.